Compound: Ti3NiBr
Source: Alexandria
Functional: GGA-PBEsol
Structure: relaxed

Structure (extended XYZ):
```
5
Lattice="4.5364 0.0000 0.0000 0.0000 4.5364 0.0000 0.0000 0.0000 4.5364" Properties=species:S:1:pos:R:3 pbc="T T T"
Br 0.0000 0.0000 0.0000
Ni 2.2682 2.2682 2.2682
Ti 0.0000 2.2682 0.0000
Ti 2.2682 0.0000 0.0000
Ti 0.0000 0.0000 2.2682
```

Computed properties:
* symmetry: No. 221
* formation energy without anion corrections: 719 meV/atom
* energy: -5.879 eV/atom
* Fermi-level density of states: 7.32 states/eV/f.u.

Compound: TiNi3Br
Source: Alexandria
Functional: GGA-PBEsol
Structure: relaxed

Structure (extended XYZ):
```
5
Lattice="-3.1739 -2.9858 0.5011 0.8109 -0.1388 4.3085 -2.9170 3.2102 0.6524" Properties=species:S:1:pos:R:3 pbc="T T T"
Ti 0.0000 0.0000 0.0000
Ni -1.4585 1.6051 0.3262
Ni -1.5869 -1.4929 0.2506
Br -2.6400 0.0428 2.7310
Ni 0.4054 -0.0694 2.1542
```

Computed properties:
* symmetry: No. 221
* formation energy without anion corrections: 1115 meV/atom
* energy: -4.618 eV/atom
* Fermi-level density of states: 3.12 states/eV/f.u.

Compound: Tl3NiBr
Source: Alexandria
Functional: GGA-PBEsol
Structure: relaxed

Structure (extended XYZ):
```
5
Lattice="-1.2650 -1.9678 -4.4878 2.7939 -4.0974 1.0091 -4.0258 -2.2253 2.1105" Properties=species:S:1:pos:R:3 pbc="T T T"
Ni 0.0000 0.0000 0.0000
Tl -0.6325 -0.9839 -2.2439
Br -1.2484 -4.1452 -0.6841
Tl -2.0129 -1.1126 1.0552
Tl 1.3969 -2.0487 0.5046
```

Computed properties:
* symmetry: No. 221
* formation energy without anion corrections: -244 meV/atom
* energy: -3.428 eV/atom
* Fermi-level density of states: 0.70 states/eV/f.u.

Compound: NiW2Br
Source: Alexandria
Functional: GGA-PBEsol
Structure: relaxed

Structure (extended XYZ):
```
4
Lattice="-2.0807 1.7000 1.5515 -1.5445 -2.6733 0.8579 4.0661 -0.1348 5.6005" Properties=species:S:1:pos:R:3 pbc="T T T"
W -1.5012 -2.6578 0.8989
Br 1.2636 -1.3089 3.1286
W 1.4236 -0.6595 5.7339
Ni -1.0287 -0.5592 2.3353
```

Computed properties:
* symmetry: No. 6
* formation energy without anion corrections: 488 meV/atom
* energy: -8.422 eV/atom
* Fermi-level density of states: 2.51 states/eV/f.u.
* distance to the lowest polymorph of the same formula: 0 meV per atom